# 1
# BaVPtO6

A relaxed structure of BaVPtO6 (GGA+U, Alexandria).

POSCAR file:
```
BaVPtO6
1.0
-4.589 2.450 0.768
-1.658 1.005 4.888
2.690 5.081 -0.132
O Ba Pt V
6 1 1 1
direct
0.618 0.987 0.312 O
0.987 0.618 0.688 O
0.618 0.395 0.688 O
0.395 0.987 0.688 O
0.987 0.395 0.312 O
0.395 0.618 0.312 O
0.000 0.000 0.000 Ba
0.333 0.333 0.500 Pt
0.667 0.667 0.500 V
```

As for the space group: No. 149.

# 2
# BaV2PtO8

A relaxed structure of BaV2PtO8 (GGA+U, Alexandria).

POSCAR file:
```
BaV2PtO8
1.0
-3.294 1.459 3.878
4.077 -3.206 1.056
4.360 6.019 1.438
V O Pt Ba
2 8 1 1
direct
0.667 0.333 0.276 V
0.333 0.667 0.724 V
0.732 0.048 0.335 O
0.333 0.667 0.947 O
0.048 0.316 0.665 O
0.684 0.732 0.665 O
0.316 0.268 0.335 O
0.268 0.952 0.665 O
0.667 0.333 0.053 O
0.952 0.684 0.335 O
0.000 0.000 0.500 Pt
0.000 0.000 0.000 Ba
```

As for the space group: No. 147.

Total DFT energy (no corrections) per entry: -6.576, -6.978 eV/atom